SrCeTlCl6: relaxed, PBE.

Unit cell a=7.5272 b=7.5272 c=13.4058 alpha=90.00 beta=90.00 gamma=120.00
Fractional positions:
Sr 0.3333 0.6667 0.2500
Sr 0.6667 0.3333 0.7500
Ce 0.3333 0.6667 0.7500
Ce 0.6667 0.3333 0.2500
Tl 0.0000 0.0000 0.0000
Tl 0.0000 0.0000 0.5000
Cl 0.0138 0.3723 0.6357
Cl 0.0138 0.6415 0.8643
Cl 0.3585 0.3723 0.8643
Cl 0.3585 0.9862 0.6357
Cl 0.3723 0.0138 0.1357
Cl 0.3723 0.3585 0.3643
Cl 0.6277 0.6415 0.6357
Cl 0.6277 0.9862 0.8643
Cl 0.6415 0.0138 0.3643
Cl 0.6415 0.6277 0.1357
Cl 0.9862 0.3585 0.1357
Cl 0.9862 0.6277 0.3643

As for the density of states at the Fermi level: 8.2 states/eV/f.u. As for the energy relative to the elements, uncorrected: -2039 meV per atom. The size of the total moment is 2.0 Bohr magnetons per cell.

HfBe2NbCl: relaxed, PBE.

Unit cell a=4.4442 b=4.4442 c=4.5800 alpha=90.00 beta=90.00 gamma=90.00
Fractional positions:
Hf 0.0000 0.0000 0.0000
Be 0.0000 0.5000 0.5000
Be 0.5000 0.0000 0.5000
Nb 0.5000 0.5000 0.5000
Cl 0.5000 0.5000 0.0000

As for the density of states at the Fermi level: 2.6 states/eV/f.u. As for the energy relative to the elements, uncorrected: 911 meV per atom. The size of the total moment is 0.0 Bohr magnetons per cell.

NbCu2Ru: relaxed, PBE.

Unit cell a=5.5406 b=5.5406 c=5.5406 alpha=101.60 beta=101.60 gamma=126.72
Fractional positions:
Nb 0.0000 0.0000 0.0000
Nb 0.7500 0.2500 0.5000
Cu 0.1356 0.1250 0.5106
Cu 0.3750 0.8644 0.9894
Cu 0.6144 0.6250 0.4894
Cu 0.8750 0.3856 0.0106
Ru 0.2500 0.7500 0.5000
Ru 0.5000 0.5000 0.0000

As for the density of states at the Fermi level: 4.3 states/eV/f.u. The size of the total moment is 0.0 Bohr magnetons per cell. The energy is -25.4 eV/f.u.

CsNaThF6: relaxed, PBE.

Unit cell a=6.2897 b=6.2897 c=12.3279 alpha=90.00 beta=90.00 gamma=120.00
Fractional positions:
Cs 0.0000 0.0000 0.0000
Cs 0.0000 0.0000 0.5000
Na 0.3333 0.6667 0.2500
Na 0.6667 0.3333 0.7500
Th 0.3333 0.6667 0.7500
Th 0.6667 0.3333 0.2500
F 0.0146 0.3868 0.6521
F 0.0146 0.6278 0.8479
F 0.3722 0.3868 0.8479
F 0.3722 0.9854 0.6521
F 0.3868 0.0146 0.1521
F 0.3868 0.3722 0.3479
F 0.6132 0.6278 0.6521
F 0.6132 0.9854 0.8479
F 0.6278 0.0146 0.3479
F 0.6278 0.6132 0.1521
F 0.9854 0.3722 0.1521
F 0.9854 0.6132 0.3479

As for the density of states at the Fermi level: 0.0 states/eV/f.u. As for the energy relative to the elements, uncorrected: -3544 meV per atom. The size of the total moment is 0.0 Bohr magnetons per cell.